An optimized crystal structure of YZr3. Source: Alexandria via LeMat-Bulk, functional PBE-GGA.

Properties
- N(E_F): 11.9 states/eV/cell
- ΔE_f: 120 meV per atom
- DFT total energy: -7.9069 eV per atom
- Total magnetic moment: 0.000 μB per atom

Cell: 4.6459 4.6459 9.2040 Å, 90.00 90.00 90.00°
Space group I4/mmm (No. 139)
Unique sites:
Y 0.0000 0.0000 0.0000 x2
Zr 0.0000 0.0000 0.5000 x2
Zr 0.0000 0.5000 0.2500 x4